1.
## Mn2VMoIr (PBE-GGA)

Data for Mn2VMoIr after structural relaxation.

Structure (POSCAR):
```
Mn2VMoIr
1.0
-2.042 -0.041 3.841
2.092 -4.138 1.068
3.332 2.147 1.794
Mo Ir Mn V
1 1 2 1
direct
0.000 0.000 0.000 Mo
0.000 0.500 0.000 Ir
0.000 0.000 0.500 Mn
0.500 0.000 0.000 Mn
0.500 0.500 0.500 V
```

Output
ΔE_f = 156 kJ/mol of atoms
SG = P4/mmm

---

2.
## MnMoIrW (PBE-GGA)

Data for MnMoIrW after structural relaxation.

Structure (POSCAR):
```
MnMoIrW
1.0
-0.607 1.886 3.923
3.051 -0.419 3.135
2.435 3.465 1.173
Mn Mo Ir W
1 1 1 1
direct
0.000 0.000 0.000 Mn
0.750 0.750 0.750 Mo
0.250 0.250 0.250 Ir
0.500 0.500 0.500 W
```

Output
ΔE_f = -2 kJ/mol of atoms
SG = F-43m

---

3.
## YMn2MoIr (PBE-GGA)

Data for YMn2MoIr after structural relaxation.

Structure (POSCAR):
```
YMn2MoIr
1.0
-4.179 -0.587 1.392
-1.492 -1.127 -4.955
0.846 -4.302 0.724
Y Mo Ir Mn
1 1 1 2
direct
0.000 0.500 0.000 Y
0.000 0.000 0.000 Mo
0.500 0.500 0.500 Ir
0.000 0.000 0.500 Mn
0.500 0.000 0.000 Mn
```

Output
ΔE_f = 119 kJ/mol of atoms
SG = P4/mmm

---

no.,E (eV/atom),N(E_F) (states/eV/f.u.)
1,-7.8134,11.67
2,-10.4748,1.98
3,-7.6649,4.60